The following is a DFT calculation (PBEsol) of a relaxed Sr crystal.

Unit cell a=4.175 b=4.175 c=6.880 alpha=90.00 beta=90.00 gamma=120.00
Atoms (fractional coordinates):
Sr  0.333  0.667  0.250
Sr  0.667  0.333  0.750

Properties
Calculated formation energy = 0.01 eV/f.u.
Excess energy over the best structure of this formula in the dataset = 5.1 meV/atom
Total magnetic moment = 0.00 μB/f.u.
ρ = 2.8 g/cm3